This record from Alexandria via LeMat-Bulk describes an optimized crystal structure of SrCeSe2. The functional is GGA-PBE.

Values from the calculation:
- D(E_F): 1.779 states/eV per atom
- Final energy: -5.52 eV per atom

Cell lengths 4.2918, 4.2918, 7.6134 Å; angles 73.63, 73.63, 60.00 degrees
Site moments in Bohr magnetons follow the coordinates.
Element x y z (fractional)
Sr (0.5000, 0.5000, 0.5000)  0.01
Se (0.2529, 0.2529, 0.2412)  -0.01
Se (0.7471, 0.7471, 0.7588)  -0.01
Ce (0.0000, 0.0000, 0.0000)  1.09